1.
# PBE ErLuAlNi2, optimized geometry
# **Calculated density**: 8.94 Mg/m³
# **Uncorrected energy**: -0.3957 Ry per atom
data_ErLuAlNi2
_chemical_formula_sum 'Er2 Lu2 Al2 Ni4'
_cell_length_a 4.138
_cell_length_b 5.346
_cell_length_c 8.170
_cell_angle_alpha 90.00
_cell_angle_beta 90.00
_cell_angle_gamma 90.00
_symmetry_space_group_name_H-M 'I m m 2'
_symmetry_Int_Tables_number 44
loop_
_symmetry_equiv_pos_as_xyz
'x,y,z'
'-x,-y,z'
'-x,y,z'
'x,-y,z'
'x+1/2,y+1/2,z+1/2'
'-x+1/2,-y+1/2,z+1/2'
'-x+1/2,y+1/2,z+1/2'
'x+1/2,-y+1/2,z+1/2'
loop_
_atom_site_label
_atom_site_type_symbol
_atom_site_fract_x
_atom_site_fract_y
_atom_site_fract_z
_atom_site_occupancy
Er1 Er 0.000 0.000 0.000 1
Lu1 Lu 0.000 0.000 0.595 1
Al1 Al 0.000 0.500 0.797 1
Ni1 Ni 0.000 0.267 0.297 1

=====

2.
# PBE ErMgAl4Pd2, optimized geometry
# **Calculated density**: 5.89 Mg/m³
# **Uncorrected energy**: -0.3380 Ry per atom
data_ErMgAl4Pd2
_chemical_formula_sum 'Er2 Mg2 Al8 Pd4'
_cell_length_a 7.042
_cell_length_b 4.210
_cell_length_c 9.742
_cell_angle_alpha 90.00
_cell_angle_beta 90.00
_cell_angle_gamma 90.00
_symmetry_space_group_name_H-M 'A m m 2'
_symmetry_Int_Tables_number 38
loop_
_symmetry_equiv_pos_as_xyz
'x,y,z'
'-x,-y,z'
'-x,y,z'
'x,-y,z'
'x,y+1/2,z+1/2'
'-x,-y+1/2,z+1/2'
'-x,y+1/2,z+1/2'
'x,-y+1/2,z+1/2'
loop_
_atom_site_label
_atom_site_type_symbol
_atom_site_fract_x
_atom_site_fract_y
_atom_site_fract_z
_atom_site_occupancy
Er1 Er 0.000 0.000 0.000 1
Mg1 Mg 0.500 0.000 0.861 1
Al1 Al 0.202 0.000 0.291 1
Al2 Al 0.307 0.000 0.575 1
Pd1 Pd 0.000 0.000 0.717 1
Pd2 Pd 0.500 0.000 0.140 1